No. 1
# YVZn2 PBE relaxed
data_YVZn2
_space_group_name_H-M_alt 'I -4 2 d'
_space_group_IT_number 122
_space_group_name_Hall 'I -4 2bw'
_cell_length_a 4.345
_cell_length_b 4.345
_cell_length_c 18.778
_cell_angle_alpha 90.00
_cell_angle_beta 90.00
_cell_angle_gamma 90.00
loop_
_atom_site_label
_atom_site_fract_x
_atom_site_fract_y
_atom_site_fract_z
_atom_site_occupancy
Y1 0.000 0.000 0.000 1
V1 0.000 0.000 0.500 1
Zn1 0.141 0.250 0.625 1
# D(E_F) = 10.2 states/eV per cell
# ΔH_f (0 K) = 0.39 eV per atom
# Excess energy over the best structure of this formula in the dataset = 403.8 meV/atom



No. 2
# Er2Ga4Rh PBE relaxed
data_Er2Ga4Rh
_space_group_name_H-M_alt 'I 4/m m m'
_space_group_IT_number 139
_space_group_name_Hall '-I 4 2'
_cell_length_a 4.736
_cell_length_b 4.736
_cell_length_c 14.557
_cell_angle_alpha 90.00
_cell_angle_beta 90.00
_cell_angle_gamma 90.00
loop_
_atom_site_label
_atom_site_fract_x
_atom_site_fract_y
_atom_site_fract_z
_atom_site_occupancy
Er1 0.000 0.000 0.178 1
Ga1 0.000 0.000 0.380 1
Ga2 0.000 0.500 0.000 1
Rh1 0.000 0.000 0.000 1
# D(E_F) = 10.2 states/eV per cell
# ΔH_f (0 K) = -0.24 eV per atom



No. 3
# Ac2TmSn PBE relaxed
data_Ac2TmSn
_space_group_name_H-M_alt 'R -3 m'
_space_group_IT_number 166
_space_group_name_Hall '-R 3 2"'
_cell_length_a 3.7787
_cell_length_b 3.7787
_cell_length_c 37.8454
_cell_angle_alpha 90.00
_cell_angle_beta 90.00
_cell_angle_gamma 120.00
loop_
_atom_site_label
_atom_site_fract_x
_atom_site_fract_y
_atom_site_fract_z
_atom_site_occupancy
Ac1 0.0000 0.0000 0.0886 1
Tm1 0.0000 0.0000 0.5000 1
Sn1 0.0000 0.0000 0.0000 1
# D(E_F) = 12.7 states/eV per cell
# ΔH_f (0 K) = 0.14 eV per atom
# Excess energy over the best structure of this formula in the dataset = 477.5 meV/atom



No. 4
# Li6TlSn4 PBE relaxed
data_Li6TlSn4
_space_group_name_H-M_alt 'I -4 2 m'
_space_group_IT_number 121
_space_group_name_Hall 'I -4 2'
_cell_length_a 6.995
_cell_length_b 6.995
_cell_length_c 10.943
_cell_angle_alpha 90.00
_cell_angle_beta 90.00
_cell_angle_gamma 90.00
loop_
_atom_site_label
_atom_site_fract_x
_atom_site_fract_y
_atom_site_fract_z
_atom_site_occupancy
Li1 0.000 0.500 0.000 1
Li2 0.227 0.227 0.175 1
Tl1 0.000 0.000 0.500 1
Sn1 0.167 0.167 0.908 1
# D(E_F) = 8.7 states/eV per cell
# ΔH_f (0 K) = -0.18 eV per atom



No. 5
# CrFeReRh PBE relaxed
data_CrFeReRh
_space_group_name_H-M_alt 'F -4 3 m'
_space_group_IT_number 216
_space_group_name_Hall 'F -4 2 3'
_cell_length_a 5.993
_cell_length_b 5.993
_cell_length_c 5.993
_cell_angle_alpha 90.00
_cell_angle_beta 90.00
_cell_angle_gamma 90.00
loop_
_atom_site_label
_atom_site_fract_x
_atom_site_fract_y
_atom_site_fract_z
_atom_site_occupancy
Cr1 0.000 0.000 0.000 1
Fe1 0.000 0.000 0.500 1
Re1 0.250 0.250 0.750 1
Rh1 0.250 0.250 0.250 1
# D(E_F) = 21.4 states/eV per cell
# ΔH_f (0 K) = 0.13 eV per atom



No. 6
# Ac6TbSm3 PBE relaxed
data_Ac6TbSm3
_space_group_name_H-M_alt 'R -3'
_space_group_IT_number 148
_space_group_name_Hall '-R 3'
_cell_length_a 16.8519
_cell_length_b 16.8519
_cell_length_c 9.8442
_cell_angle_alpha 90.00
_cell_angle_beta 90.00
_cell_angle_gamma 120.00
loop_
_atom_site_label
_atom_site_fract_x
_atom_site_fract_y
_atom_site_fract_z
_atom_site_occupancy
Ac1 0.0308 0.2643 0.3500 1
Ac2 0.0710 0.5660 0.6612 1
Tb1 0.0000 0.0000 0.0000 1
Tb2 0.0000 0.0000 0.5000 1
Sm1 0.0159 0.1498 0.7057 1
# D(E_F) = 93.9 states/eV per cell
# ΔH_f (0 K) = 0.11 eV per atom



No. 7
# TbInHg6 PBE relaxed
data_TbInHg6
_space_group_name_H-M_alt 'P 4/m m m'
_space_group_IT_number 123
_space_group_name_Hall '-P 4 2'
_cell_length_a 4.819
_cell_length_b 4.819
_cell_length_c 8.597
_cell_angle_alpha 90.00
_cell_angle_beta 90.00
_cell_angle_gamma 90.00
loop_
_atom_site_label
_atom_site_fract_x
_atom_site_fract_y
_atom_site_fract_z
_atom_site_occupancy
Tb1 0.000 0.000 0.000 1
In1 0.000 0.000 0.500 1
Hg1 0.000 0.500 0.250 1
Hg2 0.500 0.500 0.000 1
Hg3 0.500 0.500 0.500 1
# D(E_F) = 2.9 states/eV per cell
# ΔH_f (0 K) = -0.17 eV per atom
# Excess energy over the best structure of this formula in the dataset = 0.0 meV/atom



No. 8
# Sm2Mg9Cd6 PBE relaxed
data_Sm2Mg9Cd6
_space_group_name_H-M_alt 'P 6/m m m'
_space_group_IT_number 191
_space_group_name_Hall '-P 6 2'
_cell_length_a 5.9341
_cell_length_b 5.9341
_cell_length_c 14.5423
_cell_angle_alpha 90.00
_cell_angle_beta 90.00
_cell_angle_gamma 120.00
loop_
_atom_site_label
_atom_site_fract_x
_atom_site_fract_y
_atom_site_fract_z
_atom_site_occupancy
Sm1 0.0000 0.0000 0.1460 1
Mg1 0.0000 0.5000 0.0000 1
Mg2 0.0000 0.5000 0.3342 1
Cd1 0.3333 0.6667 0.1682 1
Cd2 0.3333 0.6667 0.5000 1
# D(E_F) = 10.8 states/eV per cell
# ΔH_f (0 K) = -0.03 eV per atom



Number 1: calculated volume 22.15 A^3/atom. Number 2: calculated volume 23.32 A^3/atom. Number 3: calculated volume 39.00 A^3/atom. Number 4: calculated volume 24.34 A^3/atom. Number 5: calculated volume 13.45 A^3/atom. Number 6: calculated volume 40.35 A^3/atom. Number 7: calculated volume 24.95 A^3/atom. Number 8: calculated volume 26.09 A^3/atom.